# GeAsP PBE-GGA relaxed
# - Relative energy among the computed polymorphs: 98.9 meV/atom
# - Electronic total energy: -4.795 eV per atom
# - ΔH_f (0 K): 0.10 eV/atom
data_GeAsP
_chemical_formula_sum 'Ge2 As2 P2'
_cell_length_a 5.032
_cell_length_b 5.050
_cell_length_c 6.769
_cell_angle_alpha 69.12
_cell_angle_beta 70.01
_cell_angle_gamma 88.98
_symmetry_space_group_name_H-M 'P 1'
_symmetry_Int_Tables_number 1
loop_
_symmetry_equiv_pos_as_xyz
'x,y,z'
loop_
_atom_site_label
_atom_site_fract_x
_atom_site_fract_y
_atom_site_fract_z
Ge1 0.000 0.000 0.000
Ge2 0.433 0.813 0.419
As1 0.457 0.327 0.708
As2 0.673 0.401 0.962
P1 0.764 0.107 0.481
P2 0.969 0.834 0.706

=====

# Mg2CoTe PBE-GGA relaxed
# - Formation energy from raw total energies: 0.20 eV per atom
# - Electronic total energy: -3.164 eV per atom
data_Mg2CoTe
_chemical_formula_sum 'Mg6 Co3 Te3'
_cell_length_a 3.2950
_cell_length_b 3.2950
_cell_length_c 26.1817
_cell_angle_alpha 90.00
_cell_angle_beta 90.00
_cell_angle_gamma 120.00
_symmetry_space_group_name_H-M 'R -3 m'
_symmetry_Int_Tables_number 166
_symmetry_space_group_name_Hall '-R 3 2"'
loop_
_atom_site_label
_atom_site_fract_x
_atom_site_fract_y
_atom_site_fract_z
Mg1 0.0000 0.0000 0.2362
Co1 0.0000 0.0000 0.5000
Te1 0.0000 0.0000 0.0000

=====

# PtRh2C PBE-GGA relaxed
# - Electronic total energy: -7.151 eV per atom
# - ΔH_f (0 K): 0.34 eV/atom
data_PtRh2C
_chemical_formula_sum 'Pt4 Rh8 C4'
_cell_length_a 6.331
_cell_length_b 6.331
_cell_length_c 5.382
_cell_angle_alpha 90.00
_cell_angle_beta 90.00
_cell_angle_gamma 90.00
_symmetry_space_group_name_H-M 'I -4 2 d'
_symmetry_Int_Tables_number 122
_symmetry_space_group_name_Hall 'I -4 2bw'
loop_
_atom_site_label
_atom_site_fract_x
_atom_site_fract_y
_atom_site_fract_z
Pt1 0.000 0.000 0.000
Rh1 0.152 0.250 0.625
C1 0.000 0.000 0.500

=====

# Cs2AgHg12Au3 PBE-GGA relaxed
# - Electronic total energy: -1.047 eV per atom
# - ΔH_f (0 K): -0.05 eV/atom
data_Cs2AgHg12Au3
_chemical_formula_sum 'Cs6 Ag3 Hg36 Au9'
_cell_length_a 9.1466
_cell_length_b 9.1466
_cell_length_c 28.3916
_cell_angle_alpha 90.00
_cell_angle_beta 90.00
_cell_angle_gamma 120.00
_symmetry_space_group_name_H-M 'R -3 m'
_symmetry_Int_Tables_number 166
_symmetry_space_group_name_Hall '-R 3 2"'
loop_
_atom_site_label
_atom_site_fract_x
_atom_site_fract_y
_atom_site_fract_z
Cs1 0.0000 0.0000 0.1413
Ag1 0.0000 0.0000 0.5000
Hg1 0.0719 0.5360 0.3894
Hg2 0.0792 0.5396 0.0990
Au1 0.0000 0.5000 0.0000

=====

# BaAc2Al6 PBE-GGA relaxed
# - Electronic total energy: -3.936 eV per atom
# - ΔH_f (0 K): -0.31 eV/atom
data_BaAc2Al6
_chemical_formula_sum 'Ba1 Ac2 Al6'
_cell_length_a 7.8844
_cell_length_b 7.8844
_cell_length_c 4.8265
_cell_angle_alpha 90.00
_cell_angle_beta 90.00
_cell_angle_gamma 120.00
_symmetry_space_group_name_H-M 'P 6/m m m'
_symmetry_Int_Tables_number 191
_symmetry_space_group_name_Hall '-P 6 2'
loop_
_atom_site_label
_atom_site_fract_x
_atom_site_fract_y
_atom_site_fract_z
Ba1 0.0000 0.0000 0.0000
Ac1 0.3333 0.6667 0.0000
Al1 0.0000 0.3368 0.5000

=====

# Al2PSe PBE-GGA relaxed
# - Formation energy from raw total energies: -0.08 eV per atom
# - Relative energy among the computed polymorphs: 391.5 meV/atom
# - Electronic total energy: -4.177 eV per atom
data_Al2PSe
_chemical_formula_sum 'Al4 P2 Se2'
_cell_length_a 3.564
_cell_length_b 6.367
_cell_length_c 6.996
_cell_angle_alpha 90.00
_cell_angle_beta 90.00
_cell_angle_gamma 90.00
_symmetry_space_group_name_H-M 'C m m m'
_symmetry_Int_Tables_number 65
_symmetry_space_group_name_Hall '-C 2 2'
loop_
_atom_site_label
_atom_site_fract_x
_atom_site_fract_y
_atom_site_fract_z
Al1 0.000 0.000 0.232
P1 0.000 0.500 0.000
Se1 0.000 0.500 0.500

=====

# Fe2CoRu PBE-GGA relaxed
# - Electronic total energy: -8.247 eV per atom
# - ΔH_f (0 K): 0.08 eV/atom
data_Fe2CoRu
_chemical_formula_sum 'Fe2 Co1 Ru1'
_cell_length_a 2.917
_cell_length_b 2.917
_cell_length_c 5.851
_cell_angle_alpha 90.00
_cell_angle_beta 90.00
_cell_angle_gamma 90.00
_symmetry_space_group_name_H-M 'P 4/m m m'
_symmetry_Int_Tables_number 123
_symmetry_space_group_name_Hall '-P 4 2'
loop_
_atom_site_label
_atom_site_fract_x
_atom_site_fract_y
_atom_site_fract_z
Fe1 0.000 0.000 0.237
Co1 0.500 0.500 0.000
Ru1 0.500 0.500 0.500

=====

# La8Os3Br3N PBE-GGA relaxed
# - Formation energy from raw total energies: -0.79 eV per atom
# - Electronic total energy: -6.551 eV per atom
data_La8Os3Br3N
_chemical_formula_sum 'La24 Os9 Br9 N3'
_cell_length_a 8.2304
_cell_length_b 8.2304
_cell_length_c 23.7396
_cell_angle_alpha 90.00
_cell_angle_beta 90.00
_cell_angle_gamma 120.00
_symmetry_space_group_name_H-M 'R -3 m'
_symmetry_Int_Tables_number 166
_symmetry_space_group_name_Hall '-R 3 2"'
loop_
_atom_site_label
_atom_site_fract_x
_atom_site_fract_y
_atom_site_fract_z
La1 0.0000 0.0000 0.2347
La2 0.0162 0.5081 0.2274
Os1 0.0000 0.5000 0.5000
Br1 0.0000 0.5000 0.0000
N1 0.0000 0.0000 0.5000

=====

# CsDyBO4 PBE-GGA relaxed
# - Formation energy from raw total energies: -2.43 eV per atom
# - Electronic total energy: -6.998 eV per atom
data_CsDyBO4
_chemical_formula_sum 'Cs2 Dy2 B2 O8'
_cell_length_a 5.272
_cell_length_b 5.603
_cell_length_c 7.884
_cell_angle_alpha 90.00
_cell_angle_beta 105.24
_cell_angle_gamma 90.00
_symmetry_space_group_name_H-M 'P 1 21/m 1'
_symmetry_Int_Tables_number 11
loop_
_symmetry_equiv_pos_as_xyz
'x,y,z'
'-x,-y,-z'
'-x,y+1/2,-z'
'x,-y+1/2,z'
loop_
_atom_site_label
_atom_site_fract_x
_atom_site_fract_y
_atom_site_fract_z
Cs1 0.225 0.250 0.425
Dy1 0.312 0.750 0.035
B1 0.147 0.250 0.848
O1 0.122 0.750 0.264
O2 0.143 0.250 0.038
O3 0.305 0.035 0.830

=====

# Ce3HoTm2Bi6 PBE-GGA relaxed
# - Electronic total energy: -5.347 eV per atom
# - ΔH_f (0 K): -0.80 eV/atom
data_Ce3HoTm2Bi6
_chemical_formula_sum 'Ce6 Ho2 Tm4 Bi12'
_cell_length_a 7.842
_cell_length_b 13.582
_cell_length_c 7.823
_cell_angle_alpha 90.00
_cell_angle_beta 109.52
_cell_angle_gamma 90.00
_symmetry_space_group_name_H-M 'C 1 2/m 1'
_symmetry_Int_Tables_number 12
loop_
_symmetry_equiv_pos_as_xyz
'x,y,z'
'-x,-y,-z'
'-x,y,-z'
'x,-y,z'
'x+1/2,y+1/2,z'
'-x+1/2,-y+1/2,-z'
'-x+1/2,y+1/2,-z'
'x+1/2,-y+1/2,z'
loop_
_atom_site_label
_atom_site_fract_x
_atom_site_fract_y
_atom_site_fract_z
Ce1 0.000 0.000 0.000
Ce2 0.000 0.334 0.000
Ho1 0.000 0.500 0.500
Tm1 0.000 0.167 0.500
Bi1 0.245 0.000 0.740
Bi2 0.247 0.333 0.741

=====

# Mg2RhC PBE-GGA relaxed
# - Electronic total energy: -4.802 eV per atom
# - ΔH_f (0 K): 0.14 eV/atom
data_Mg2RhC
_chemical_formula_sum 'Mg8 Rh4 C4'
_cell_length_a 8.509
_cell_length_b 8.509
_cell_length_c 3.913
_cell_angle_alpha 90.00
_cell_angle_beta 90.00
_cell_angle_gamma 90.00
_symmetry_space_group_name_H-M 'I -4 2 d'
_symmetry_Int_Tables_number 122
_symmetry_space_group_name_Hall 'I -4 2bw'
loop_
_atom_site_label
_atom_site_fract_x
_atom_site_fract_y
_atom_site_fract_z
Mg1 0.071 0.750 0.125
Rh1 0.000 0.000 0.500
C1 0.000 0.000 0.000

=====

# MnIn2Rh PBE-GGA relaxed
# - Electronic total energy: -5.429 eV per atom
# - ΔH_f (0 K): 0.07 eV/atom
data_MnIn2Rh
_chemical_formula_sum 'Mn4 In8 Rh4'
_cell_length_a 6.575
_cell_length_b 6.575
_cell_length_c 6.575
_cell_angle_alpha 90.00
_cell_angle_beta 90.00
_cell_angle_gamma 90.00
_symmetry_space_group_name_H-M 'F -4 3 m'
_symmetry_Int_Tables_number 216
_symmetry_space_group_name_Hall 'F -4 2 3'
loop_
_atom_site_label
_atom_site_fract_x
_atom_site_fract_y
_atom_site_fract_z
Mn1 0.000 0.000 0.000
In1 0.000 0.000 0.500
In2 0.250 0.250 0.250
Rh1 0.250 0.250 0.750

=====

Which value of electronic total energy does entry 7 give? -8.247 eV per atom

=====

What is the electronic total energy in the fifth record? -3.936 eV per atom

=====

Repeat the tenth record exactly.
# Ce3HoTm2Bi6 PBE-GGA relaxed
# - Electronic total energy: -5.347 eV per atom
# - ΔH_f (0 K): -0.80 eV/atom
data_Ce3HoTm2Bi6
_chemical_formula_sum 'Ce6 Ho2 Tm4 Bi12'
_cell_length_a 7.842
_cell_length_b 13.582
_cell_length_c 7.823
_cell_angle_alpha 90.00
_cell_angle_beta 109.52
_cell_angle_gamma 90.00
_symmetry_space_group_name_H-M 'C 1 2/m 1'
_symmetry_Int_Tables_number 12
loop_
_symmetry_equiv_pos_as_xyz
'x,y,z'
'-x,-y,-z'
'-x,y,-z'
'x,-y,z'
'x+1/2,y+1/2,z'
'-x+1/2,-y+1/2,-z'
'-x+1/2,y+1/2,-z'
'x+1/2,-y+1/2,z'
loop_
_atom_site_label
_atom_site_fract_x
_atom_site_fract_y
_atom_site_fract_z
Ce1 0.000 0.000 0.000
Ce2 0.000 0.334 0.000
Ho1 0.000 0.500 0.500
Tm1 0.000 0.167 0.500
Bi1 0.245 0.000 0.740
Bi2 0.247 0.333 0.741